[1]
A relaxed Sm2HoGa3 crystal. Source: the Alexandria database, functional PBE.

The structure in POSCAR format:
```
Sm2HoGa3
1.0
5.110 0.000 0.000
-2.555 4.426 0.000
0.000 0.000 12.572
Sm Ho Ga
4 2 6
Direct
0.000 0.000 0.500
0.333 0.667 0.170
0.667 0.333 0.830
0.000 0.000 0.000
0.333 0.667 0.667
0.667 0.333 0.333
0.333 0.667 0.418
0.667 0.333 0.085
0.000 0.000 0.747
0.000 0.000 0.253
0.333 0.667 0.915
0.667 0.333 0.582
```

## Properties
- Spin magnetization: 0.0 μB per formula unit
- Electronic total energy: -53.06 eV per cell
- Energy of formation: -572.4 meV/atom
- V: 284.34 Å³ per cell
- Energy relative to the lowest polymorph listed for this composition: 0 meV/atom
- Fermi-level density of states: 2.398 states/eV/f.u.

[2]
A relaxed K5OsS5 crystal. Source: the Alexandria database, functional PBE.

The structure in POSCAR format:
```
K5OsS5
1.0
-2.660 5.062 -1.717
1.363 -4.757 -5.757
-7.071 -2.448 3.737
K Os S
5 1 5
Direct
0.692 0.384 0.304
0.668 0.335 0.843
0.000 0.000 0.500
0.332 0.665 0.157
0.308 0.616 0.696
0.000 0.000 0.000
0.876 0.752 0.131
0.868 0.736 0.729
0.500 0.000 0.000
0.132 0.264 0.271
0.124 0.248 0.869
```

## Properties
- Spin magnetization: 2.5 μB per formula unit
- Electronic total energy: -43.95 eV per cell
- Formation energy (no corrections): -6.60 eV/f.u.
- V: 328.48 Å³ per cell
- Fermi-level density of states: 7.455 states/eV/f.u.

[3]
A relaxed Be2CdBr crystal. Source: the Alexandria database, functional PBE.

The structure in POSCAR format:
```
Be2CdBr
1.0
4.808 -0.074 0.000
-1.417 4.595 0.000
0.000 0.000 3.170
Be Br Cd
2 1 1
Direct
0.000 0.000 0.000
0.500 0.500 0.000
0.500 0.000 0.500
0.000 0.500 0.500
```

## Properties
- Spin magnetization: 0.0 μB per formula unit
- Electronic total energy: -6.80 eV per cell
- Formation energy (no corrections): 3.24 eV/f.u.
- V: 69.69 Å³ per cell
- Energy relative to the lowest polymorph listed for this composition: 519 meV/atom
- Fermi-level density of states: 0.986 states/eV/f.u.

[4]
A relaxed AlSb2PbI crystal. Source: the Alexandria database, functional PBE.

The structure in POSCAR format:
```
AlSb2PbI
1.0
5.858 0.000 0.000
0.000 5.858 0.000
0.000 0.000 6.325
Pb I Al Sb
1 1 1 2
Direct
0.000 0.000 0.000
0.000 0.000 0.500
0.500 0.500 0.500
0.000 0.500 0.000
0.500 0.000 0.000
```

## Properties
- Spin magnetization: 1.3 μB per formula unit
- Electronic total energy: -13.38 eV per cell
- Formation energy (no corrections): 3.86 eV/f.u.
- V: 217.05 Å³ per cell
- Energy relative to the lowest polymorph listed for this composition: 476 meV/atom
- Fermi-level density of states: 4.873 states/eV/f.u.

[5]
A relaxed Sm10Se19 crystal. Source: the Alexandria database, functional PBE.

The structure in POSCAR format:
```
Sm10Se19
1.0
9.234 0.000 0.000
0.000 9.234 0.000
0.000 0.000 16.892
Sm Se
20 38
Direct
0.303 0.602 0.143
0.898 0.803 0.643
0.102 0.197 0.643
0.697 0.398 0.143
0.197 0.898 0.357
0.602 0.697 0.857
0.398 0.303 0.857
0.803 0.102 0.357
0.294 0.597 0.631
0.903 0.794 0.131
0.097 0.206 0.131
0.706 0.403 0.631
0.206 0.903 0.869
0.597 0.706 0.369
0.403 0.294 0.369
0.794 0.097 0.869
0.000 0.500 0.867
0.000 0.500 0.367
0.500 0.000 0.633
0.500 0.000 0.133
0.500 0.500 0.500
0.000 0.000 0.000
0.921 0.279 0.500
0.221 0.421 0.000
0.779 0.579 0.000
0.079 0.721 0.500
0.579 0.221 0.000
0.279 0.079 0.500
0.721 0.921 0.500
0.421 0.779 0.000
0.402 0.299 0.680
0.201 0.902 0.180
0.799 0.098 0.180
0.598 0.701 0.680
0.098 0.201 0.820
0.299 0.598 0.320
0.701 0.402 0.320
0.902 0.799 0.820
0.400 0.302 0.187
0.198 0.900 0.687
0.871 0.314 0.001
0.186 0.371 0.501
0.814 0.629 0.501
0.129 0.686 0.001
0.629 0.186 0.499
0.314 0.129 0.999
0.686 0.871 0.999
0.371 0.814 0.499
0.500 0.000 0.814
0.500 0.000 0.314
0.000 0.500 0.686
0.000 0.500 0.186
0.900 0.802 0.313
0.698 0.400 0.813
0.302 0.600 0.813
0.100 0.198 0.313
0.600 0.698 0.187
0.802 0.100 0.687
```

## Properties
- Spin magnetization: 0.0 μB per formula unit
- Electronic total energy: -323.98 eV per cell
- Formation energy (no corrections): -48.59 eV/f.u.
- V: 1440.43 Å³ per cell
- Fermi-level density of states: 2.000 states/eV/f.u.

[6]
A relaxed Tb2CeTm12 crystal. Source: the Alexandria database, functional PBE.

The structure in POSCAR format:
```
Tb2CeTm12
1.0
-4.949 3.503 2.494
-5.875 -1.184 -2.657
-3.195 -13.509 20.004
Tb Ce Tm
4 2 24
Direct
0.538 0.962 0.281
0.038 0.462 0.282
0.962 0.538 0.719
0.462 0.038 0.718
0.500 0.000 0.000
0.000 0.500 0.000
0.394 0.606 0.807
0.894 0.106 0.807
0.852 0.648 0.864
0.050 0.950 0.933
0.001 0.999 0.330
0.450 0.550 0.067
0.834 0.166 0.555
0.501 0.499 0.330
0.352 0.148 0.863
0.648 0.852 0.136
0.318 0.182 0.576
0.666 0.334 0.445
0.999 0.001 0.670
0.182 0.318 0.424
0.148 0.352 0.137
0.681 0.819 0.424
0.819 0.681 0.576
0.106 0.894 0.193
0.334 0.666 0.555
0.499 0.501 0.670
0.550 0.450 0.933
0.606 0.394 0.193
0.166 0.834 0.445
0.950 0.050 0.067
```

## Properties
- Spin magnetization: 0.6 μB per formula unit
- Electronic total energy: -134.15 eV per cell
- Energy of formation: 118.5 meV/atom
- V: 924.78 Å³ per cell
- Fermi-level density of states: 26.762 states/eV/f.u.

[7]
A relaxed Tb2TlZn5 crystal. Source: the Alexandria database, functional PBE.

The structure in POSCAR format:
```
Tb2TlZn5
1.0
-0.361 -4.165 -1.233
7.173 2.717 -3.575
4.649 -2.583 7.366
Tb Tl Zn
4 2 10
Direct
0.797 0.595 0.750
0.203 0.405 0.250
0.000 0.000 0.000
0.000 0.000 0.500
0.448 0.897 0.750
0.552 0.103 0.250
0.188 0.375 0.891
0.812 0.625 0.109
0.188 0.375 0.609
0.812 0.625 0.391
0.344 0.689 0.982
0.656 0.311 0.018
0.344 0.689 0.518
0.656 0.311 0.482
0.610 0.221 0.750
0.390 0.779 0.250
```

## Properties
- Spin magnetization: 0.0 μB per formula unit
- Electronic total energy: -40.80 eV per cell
- Energy of formation: -300.7 meV/atom
- V: 323.84 Å³ per cell
- Fermi-level density of states: 5.361 states/eV/f.u.

[8]
A relaxed EuGdErLu crystal. Source: the Alexandria database, functional PBE.

The structure in POSCAR format:
```
EuGdErLu
1.0
-5.215 2.173 0.715
-3.729 -2.612 3.421
-1.442 2.366 4.975
Gd Eu Lu Er
1 1 1 1
Direct
0.250 0.250 0.250
0.750 0.750 0.750
0.000 0.000 0.000
0.500 0.500 0.500
```

## Properties
- Spin magnetization: 15.0 μB per formula unit
- Electronic total energy: -32.84 eV per cell
- Energy of formation: 148.9 meV/atom
- V: 130.59 Å³ per cell
- Fermi-level density of states: 7.166 states/eV/f.u.